Cr2Tc | PBE | relaxed

Unit cell a=4.1205 b=4.1205 c=2.9277 alpha=90.00 beta=90.00 gamma=90.00
Closest atoms and distances in Å follow each position.
Positions (direct):
Tc  0.0000  0.0000  0.0000  8 Cr 2.53
Cr  0.5000  0.0000  0.5000  4 Tc 2.53
Cr  0.0000  0.5000  0.5000  4 Tc 2.53

ΔE to the lowest computed polymorph (meV/atom): 856
M_tot (Bohr magnetons per cell): 4.3
Crystal system: tetragonal
Formation energy from the elements (meV/atom): 880
N(E_F) (states/eV/f.u.): 3.3
Symmetry: P4/mmm

Cd2PW | PBE | relaxed

Unit cell a=4.8169 b=4.8169 c=4.8169 alpha=60.00 beta=60.00 gamma=60.00
Closest atoms and distances in Å follow each position.
Positions (direct):
W  0.5000  0.5000  0.5000  8 Cd 2.95
P  0.0000  0.0000  0.0000  8 Cd 2.95
Cd  0.7500  0.7500  0.7500  4 W 2.95, 4 P 2.95
Cd  0.2500  0.2500  0.2500  4 W 2.95, 4 P 2.95

ΔE to the lowest computed polymorph (meV/atom): 1077
M_tot (Bohr magnetons per cell): 2.8
Crystal system: cubic
Formation energy from the elements (meV/atom): 1197
N(E_F) (states/eV/f.u.): 2.1
Symmetry: Fm-3m

BeReSiP2 | PBE | relaxed

Unit cell a=4.5854 b=4.8008 c=4.5854 alpha=90.00 beta=90.00 gamma=90.00
Closest atoms and distances in Å follow each position.
Positions (direct):
Re  0.0000  0.0000  0.0000  4 P 2.29, 2 Si 2.40
P  0.5000  0.0000  0.0000  2 Re 2.29
P  0.0000  0.0000  0.5000  2 Re 2.29
Be  0.5000  0.5000  0.5000  4 Si 3.24, 8 P 3.32
Si  0.0000  0.5000  0.0000  2 Re 2.40

Energy relative to the elements, uncorrected (kJ per mole of atoms): 95
M_tot (Bohr magnetons per cell): 0.0
Crystal system: tetragonal
N(E_F) (states/eV/f.u.): 2.8
Symmetry: P4/mmm

LaZr2Ni | PBE | relaxed

Unit cell a=3.3220 b=5.1557 c=5.1588 alpha=90.00 beta=90.00 gamma=90.00
Closest atoms and distances in Å follow each position.
Positions (direct):
Zr  0.0000  0.0000  0.0000  6 Zr 3.07-3.32, 4 La 3.07
Zr  0.5000  0.5000  0.0000  6 Zr 3.07-3.32, 4 Ni 3.07
La  0.5000  0.0000  0.5000  4 Ni 3.07, 4 Zr 3.07, 2 La 3.32
Ni  0.0000  0.5000  0.5000  4 La 3.07, 4 Zr 3.07, 2 Ni 3.32

ΔE to the lowest computed polymorph (meV/atom): 270
M_tot (Bohr magnetons per cell): 0.0
Crystal system: orthorhombic
Formation energy from the elements (meV/atom): 152
N(E_F) (states/eV/f.u.): 5.6
Symmetry: Pmmm

Dy8Te4IrPt3 | PBE | relaxed

Unit cell a=8.3073 b=8.7107 c=8.3074 alpha=118.48 beta=120.00 gamma=90.00
Closest atoms and distances in Å follow each position.
Positions (direct):
Dy  0.2635  0.2905  0.5270  3 Pt 2.84
Dy  0.2566  0.2915  0.0241  1 Ir 2.79, 2 Pt 2.86
Dy  0.7434  0.7085  0.9759  1 Ir 2.79, 2 Pt 2.86
Dy  0.7674  0.2915  0.5349  1 Ir 2.79, 2 Pt 2.86
Dy  0.7365  0.7095  0.4730  3 Pt 2.84
Dy  0.2326  0.7085  0.9759  1 Ir 2.79, 2 Pt 2.86
Dy  0.2326  0.7085  0.4651  1 Ir 2.79, 2 Pt 2.86
Dy  0.7674  0.2915  0.0241  1 Ir 2.79, 2 Pt 2.86
Pt  0.5000  0.5000  0.0000  6 Dy 2.84-2.86
Pt  0.5000  0.5000  0.5000  6 Dy 2.84-2.86
Pt  0.0000  0.5000  0.5000  6 Dy 2.84-2.86
Te  0.0000  0.0000  0.0000  6 Dy 3.18-3.20
Te  0.5000  0.0000  0.0000  6 Dy 3.24
Te  0.5000  0.0000  0.5000  6 Dy 3.18-3.20
Te  0.0000  0.0000  0.5000  6 Dy 3.18-3.20
Ir  0.0000  0.5000  0.0000  6 Dy 2.79

Energy relative to the elements, uncorrected (kJ per mole of atoms): -119
M_tot (Bohr magnetons per cell): 0.0
Crystal system: trigonal
N(E_F) (states/eV/f.u.): 5.1
Symmetry: R-3m

PrMg3Pd3 | PBE | relaxed

Unit cell a=6.9963 b=6.9963 c=6.9963 alpha=90.00 beta=90.00 gamma=90.00
Closest atoms and distances in Å follow each position.
Positions (direct):
Pd  0.5000  0.2500  0.0000  4 Mg 2.47
Pd  0.7500  0.0000  0.5000  4 Mg 2.47
Pd  0.0000  0.5000  0.7500  4 Mg 2.47
Pd  0.5000  0.7500  0.0000  4 Mg 2.47
Pd  0.0000  0.5000  0.2500  4 Mg 2.47
Pd  0.2500  0.0000  0.5000  4 Mg 2.47
Mg  0.0000  0.2500  0.5000  4 Pd 2.47
Mg  0.0000  0.7500  0.5000  4 Pd 2.47
Mg  0.7500  0.5000  0.0000  4 Pd 2.47
Mg  0.2500  0.5000  0.0000  4 Pd 2.47
Mg  0.5000  0.0000  0.7500  4 Pd 2.47
Mg  0.5000  0.0000  0.2500  4 Pd 2.47
Pr  0.5000  0.5000  0.5000  12 Mg 3.91, 12 Pd 3.91
Pr  0.0000  0.0000  0.0000  12 Mg 3.91, 12 Pd 3.91

M_tot (Bohr magnetons per cell): 0.0
Crystal system: cubic
Formation energy from the elements (meV/atom): -120
N(E_F) (states/eV/f.u.): 2.6
Symmetry: Pm-3n

CuSbIr2 | PBE | relaxed

Unit cell a=8.2550 b=8.2550 c=8.2550 alpha=21.24 beta=21.24 gamma=21.24
Closest atoms and distances in Å follow each position.
Positions (direct):
Cu  0.7500  0.7500  0.7500  6 Ir 2.64
Ir  0.4982  0.4982  0.4982  3 Cu 2.64, 3 Sb 2.71
Ir  0.0018  0.0018  0.0018  3 Cu 2.64, 3 Sb 2.71
Sb  0.2500  0.2500  0.2500  6 Ir 2.71

Energy relative to the elements, uncorrected (kJ per mole of atoms): 35
M_tot (Bohr magnetons per cell): 0.0
Crystal system: trigonal
N(E_F) (states/eV/f.u.): 3.3
Symmetry: R-3m

Pu2I2ClO | PBE | relaxed

Unit cell a=3.9773 b=7.6387 c=12.2029 alpha=90.00 beta=90.00 gamma=90.00
Closest atoms and distances in Å follow each position.
Positions (direct):
I  0.0000  0.8525  0.7733  3 Pu 3.09-3.24
I  0.5000  0.8692  0.1190  2 Pu 3.12
I  0.5000  0.3692  0.8810  2 Pu 3.12
I  0.0000  0.3525  0.2267  3 Pu 3.09-3.24
Pu  0.5000  0.3595  0.4359  2 O 2.47-2.54
Pu  0.0000  0.7402  0.2986  2 O 2.34
Pu  0.5000  0.8595  0.5641  2 O 2.47-2.54
Pu  0.0000  0.2402  0.7014  2 O 2.34
Cl  0.0000  0.5393  0.5637  5 Pu 2.84-3.15, 2 O 3.08
Cl  0.0000  0.0393  0.4363  5 Pu 2.84-3.15, 2 O 3.08
O  0.5000  0.1848  0.6059  4 Pu 2.34-2.54
O  0.5000  0.6848  0.3941  4 Pu 2.34-2.54

Energy relative to the elements, uncorrected (kJ per mole of atoms): -166
M_tot (Bohr magnetons per cell): 1.0
Crystal system: orthorhombic
N(E_F) (states/eV/f.u.): 24.0
Symmetry: Pmc2_1

| no. | raw total energy (eV/atom) |
| --- | --- |
| 1 | -8.9908 |
| 2 | -3.8514 |
| 3 | -5.4960 |
| 4 | -6.7998 |
| 5 | -6.0036 |
| 6 | -3.7122 |
| 7 | -6.1228 |
| 8 | -8.1453 |